(1)
Below is a relaxed Nb4Co2Si5 crystal, with properties calculated at the GGA-PBE level.

Formation energy without anion corrections ... -6.042 eV/f.u.
Calculated volume ... 156 Å³/f.u.

Lattice parameters (Å, degrees): 7.9341 15.8078 4.9905 90.00 90.00 90.00
Space group Ibam (No. 72)
One atom of each set of equivalent atoms:
Nb  0.1088  0.1411  0.0000
Nb  0.2418  0.4379  0.0000
Co  0.0000  0.3016  0.2500
Si  0.0000  0.0000  0.2500
Si  0.0788  0.4222  0.5000
Si  0.2039  0.2213  0.5000

(2)
Below is a relaxed NbCo3Si crystal, with properties calculated at the GGA-PBE level.

Formation energy without anion corrections ... -1.099 eV/f.u.
Calculated volume ... 63 Å³/f.u.

Lattice parameters (Å, degrees): 4.6907 6.5325 8.1863 90.00 90.00 90.00
Space group Imma (No. 74)
One atom of each set of equivalent atoms:
Nb  0.0000  0.2500  0.0062
Co  0.0000  0.2500  0.3170
Co  0.2500  0.0593  0.7500
Si  0.0000  0.0000  0.5000

(3)
Below is a relaxed NbCoSi crystal, with properties calculated at the GGA-PBE level.

Formation energy without anion corrections ... -2.228 eV/f.u.
Calculated volume ... 40 Å³/f.u.

Lattice parameters (Å, degrees): 6.2495 3.6616 7.0670 90.00 90.00 90.00
Space group Pnma (No. 62)
One atom of each set of equivalent atoms:
Nb  0.0207  0.2500  0.1798
Co  0.1410  0.2500  0.5630
Si  0.2248  0.7500  0.3824

(4)
Below is a relaxed Nb3Co8Si crystal, with properties calculated at the GGA-PBE level.

Formation energy without anion corrections ... -1.781 eV/f.u.
Calculated volume ... 149 Å³/f.u.

Lattice parameters (Å, degrees): 4.7335 4.7335 23.0435 90.00 90.00 120.00
Space group R3m (No. 160, hexagonal axes)
One atom of each set of equivalent atoms:
Nb  0.0000  0.0000  0.0000
Nb  0.0000  0.0000  0.1264
Nb  0.0000  0.0000  0.6144
Co  0.0000  0.0000  0.3101
Co  0.0000  0.0000  0.8111
Co  0.0025  0.5013  0.5600
Co  0.1670  0.3341  0.3931
Si  0.0000  0.0000  0.4860

(5)
Below is a relaxed TaNbCoSi2 crystal, with properties calculated at the GGA-PBE level.

Formation energy without anion corrections ... 6.375 eV/f.u.
Calculated volume ... 95 Å³/f.u.

Lattice parameters (Å, degrees): 4.6670 4.6670 4.3418 90.00 90.00 90.00
Space group P4/mmm (No. 123)
One atom of each set of equivalent atoms:
Ta  0.0000  0.0000  0.0000
Nb  0.5000  0.5000  0.5000
Co  0.5000  0.5000  0.0000
Si  0.0000  0.5000  0.5000

(6)
Below is a relaxed SmNbCo crystal, with properties calculated at the GGA-PBE level.

Calculated volume ... 59 Å³/f.u.
ΔH_f (0 K) ... 0.6 eV per formula unit

Lattice parameters (Å, degrees): 10.8517 4.5901 4.7249 90.00 90.00 90.00
Space group Amm2 (No. 38)
One atom of each set of equivalent atoms:
Sm  0.1617  0.0000  0.0000
Nb  0.3759  0.0000  0.5034
Co  0.0000  0.0000  0.5022
Co  0.5000  0.0000  0.9565

(7)
Below is a relaxed SmNb2Co9 crystal, with properties calculated at the GGA-PBE level.

Calculated volume ... 159 Å³/f.u.
ΔH_f (0 K) ... -1.3 eV per formula unit

Lattice parameters (Å, degrees): 4.8424 4.8424 23.4724 90.00 90.00 120.00
Space group R-3m (No. 166, hexagonal axes)
One atom of each set of equivalent atoms:
Sm  0.0000  0.0000  0.0000
Nb  0.0000  0.0000  0.1409
Co  0.0000  0.0000  0.3357
Co  0.0000  0.0000  0.5000
Co  0.0073  0.5036  0.9134

(8)
Below is a relaxed Nb3CoSn crystal, with properties calculated at the GGA-PBE level.

Calculated volume ... 99 Å³/f.u.
ΔH_f (0 K) ... 2.1 eV per formula unit

Lattice parameters (Å, degrees): 4.6255 4.6255 4.6255 90.00 90.00 90.00
Space group Pm-3m (No. 221)
One atom of each set of equivalent atoms:
Nb  0.0000  0.0000  0.5000
Co  0.0000  0.0000  0.0000
Sn  0.5000  0.5000  0.5000